w.
# BePbW2

An optimized crystal structure of BePbW2 (PBEsol, Alexandria).

a b c (Å): 2.862 4.387 5.331
angles (deg): 90.00 97.42 90.00
Sites, in units of the cell vectors:
Be 0.000 0.000 0.000
Pb 0.500 0.000 0.500
W 0.278 0.500 0.786
W 0.722 0.500 0.214

Results
Fermi-level density of states: 0.580 states/eV/atom

x.
# BePbW2

An optimized crystal structure of BePbW2 (PBEsol, Alexandria).

a b c (Å): 5.058 5.058 5.058
angles (deg): 142.95 125.66 67.60
Sites, in units of the cell vectors:
Be 0.000 0.000 0.000
Pb 0.500 0.500 0.000
W 0.211 0.711 0.500
W 0.789 0.289 0.500

Results
Fermi-level density of states: 0.553 states/eV/atom

The structure with the least stability is w.